Here is crystalline NiPb2Cl at its relaxed geometry from Alexandria. Energies are from PBE.

## Properties
**Energy relative to the elements, uncorrected**: -0.06 eV/f.u.
**Crystal system**: orthorhombic
**E above lowest polymorph**: 3.72 kcal/mol of atoms
**SG**: Cmm2 (35)
**Fermi-level density of states**: 0.5591 states/eV per atom

a b c (Å): 3.451 3.451 8.933
angles (deg): 90.00 90.00 114.68
Positions (direct):
Cl1 0.000 0.000 0.568
Ni1 0.500 0.500 0.731
Pb1 0.000 0.000 0.935
Pb2 0.500 0.500 0.265

Here is crystalline NiPb2Cl at its relaxed geometry from Alexandria. Energies are from PBE.

## Properties
**Energy relative to the elements, uncorrected**: -0.33 eV/f.u.
**Crystal system**: orthorhombic
**E above lowest polymorph**: 2.14 kcal/mol of atoms
**SG**: Imm2 (44)
**Fermi-level density of states**: 0.5966 states/eV per atom

a b c (Å): 8.310 8.310 8.310
angles (deg): 155.31 155.14 35.32
Positions (direct):
Cl1 0.448 0.448 0.000
Ni1 0.203 0.703 0.500
Pb1 0.071 0.071 0.000
Pb2 0.778 0.278 0.500

Here is crystalline NiPb2Cl at its relaxed geometry from Alexandria. Energies are from PBE.

## Properties
**Energy relative to the elements, uncorrected**: -0.70 eV/f.u.
**Crystal system**: monoclinic
**E above lowest polymorph**: 0.00 kcal/mol of atoms
**SG**: C2/m (12)
**Fermi-level density of states**: 0.4753 states/eV per atom

a b c (Å): 3.810 3.810 8.166
angles (deg): 76.31 76.31 60.25
Positions (direct):
Cl1 0.750 0.750 0.750
Ni1 0.250 0.250 0.250
Pb1 0.986 0.986 0.044
Pb2 0.514 0.514 0.456

> The lowest Fermi-level density of states belongs to which entry?

number 3

What did the first record say?
Here is crystalline NiPb2Cl at its relaxed geometry from Alexandria. Energies are from PBE.

## Properties
**Energy relative to the elements, uncorrected**: -0.06 eV/f.u.
**Crystal system**: orthorhombic
**E above lowest polymorph**: 3.72 kcal/mol of atoms
**SG**: Cmm2 (35)
**Fermi-level density of states**: 0.5591 states/eV per atom

a b c (Å): 3.451 3.451 8.933
angles (deg): 90.00 90.00 114.68
Positions (direct):
Cl1 0.000 0.000 0.568
Ni1 0.500 0.500 0.731
Pb1 0.000 0.000 0.935
Pb2 0.500 0.500 0.265